PrSm2Pb after structural relaxation, computed with PBE.

```
PrSm2Pb
1.0
4.804 0.000 0.000
0.000 4.752 0.000
-2.389 0.000 11.637
Pr Sm Pb
2 4 2
Direct
0.192 0.250 0.386
0.808 0.750 0.614
0.062 0.750 0.124
0.440 0.750 0.879
0.560 0.250 0.121
0.938 0.250 0.876
0.335 0.250 0.667
0.665 0.750 0.333
```

Summary:
ρ: 8.1 g/cm³
total magnetization: 0.000 μB per formula unit
space group: P2_1/m (11)
DFT formation energy: -0.294 eV per atom